## MgCrIr2 (PBE)

Data for MgCrIr2 after structural relaxation.

Calculated values
Calculated total energy in eV per atom: -7.385
Symmetry: Cm (8)
Energy of formation from the pure elements in eV/atom: -0.150
DOS(E_F) in states/eV/f.u.: 2.6

The structure in POSCAR format:
```
MgCrIr2
1.0
5.082 0.063 0.451
4.273 2.751 0.451
1.455 0.438 4.398
Ir Mg Cr
2 1 1
Direct
0.005 0.005 0.083
0.742 0.742 0.670
0.493 0.493 0.579
0.261 0.261 0.168
```